one:
Entry from the Alexandria database: a geometry-optimized AgSeBr4 structure (GGA-PBE).

The structure in CIF format:
```
data_AgSeBr4
_chemical_formula_sum 'Ag4 Se4 Br16'
_space_group_name_H-M_alt 'C 1 2/c 1'
_space_group_IT_number 15
_cell_length_a 7.998
_cell_length_b 16.086
_cell_length_c 7.190
_cell_angle_alpha 90.00
_cell_angle_beta 121.48
_cell_angle_gamma 90.00
loop_
_space_group_symop_operation_xyz
'x,y,z'
'-x,-y,-z'
'-x,y,-z+1/2'
'x,-y,z+1/2'
'x+1/2,y+1/2,z'
'-x+1/2,-y+1/2,-z'
'-x+1/2,y+1/2,-z+1/2'
'x+1/2,-y+1/2,z+1/2'
loop_
_atom_site_label
_atom_site_fract_x
_atom_site_fract_y
_atom_site_fract_z
_atom_site_occupancy
Ag1 0.000 0.184 0.250 1
Se1 0.000 0.320 0.750 1
Br1 0.209 0.197 0.713 1
Br2 0.214 0.428 0.729 1
```

## Properties
**Total moment**: 0.00 μB/f.u.

two:
Entry from the Alexandria database: a geometry-optimized AgSeBr4 structure (GGA-PBE).

The structure in CIF format:
```
data_AgSeBr4
_chemical_formula_sum 'Ag4 Se4 Br16'
_space_group_name_H-M_alt 'F -4 3 m'
_space_group_IT_number 216
_space_group_name_Hall 'F -4 2 3'
_cell_length_a 8.843
_cell_length_b 8.843
_cell_length_c 8.843
_cell_angle_alpha 90.00
_cell_angle_beta 90.00
_cell_angle_gamma 90.00
loop_
_atom_site_label
_atom_site_fract_x
_atom_site_fract_y
_atom_site_fract_z
_atom_site_occupancy
Ag1 0.000 0.000 0.000 1
Se1 0.250 0.250 0.250 1
Br1 0.125 0.125 0.625 1
```

## Properties
**Total moment**: 1.47 μB/f.u.

one takes first place; second place is 89.9 kJ/mol of atoms up.

one:
Entry from the Alexandria database: a geometry-optimized Ag3SeBr6 structure (GGA-PBE).

The structure in CIF format:
```
data_Ag3SeBr6
_chemical_formula_sum 'Ag6 Se2 Br12'
_space_group_name_H-M_alt 'P 1 21/c 1'
_space_group_IT_number 14
_cell_length_a 7.146
_cell_length_b 7.747
_cell_length_c 12.405
_cell_angle_alpha 90.00
_cell_angle_beta 109.39
_cell_angle_gamma 90.00
loop_
_space_group_symop_operation_xyz
'x,y,z'
'-x,-y,-z'
'-x,y+1/2,-z+1/2'
'x,-y+1/2,z+1/2'
loop_
_atom_site_label
_atom_site_fract_x
_atom_site_fract_y
_atom_site_fract_z
_atom_site_occupancy
Ag1 0.000 0.000 0.000 1
Ag2 0.128 0.130 0.656 1
Se1 0.500 0.000 0.500 1
Br1 0.042 0.050 0.216 1
Br2 0.242 0.667 0.069 1
Br3 0.395 0.214 0.073 1
```

## Properties
**Total moment**: 0.26 μB/f.u.

two:
Entry from the Alexandria database: a geometry-optimized Ag3SeBr6 structure (GGA-PBE).

The structure in CIF format:
```
data_Ag3SeBr6
_chemical_formula_sum 'Ag6 Se2 Br12'
_space_group_name_H-M_alt 'P 1 21/c 1'
_space_group_IT_number 14
_cell_length_a 7.180
_cell_length_b 7.032
_cell_length_c 13.062
_cell_angle_alpha 90.00
_cell_angle_beta 118.95
_cell_angle_gamma 90.00
loop_
_space_group_symop_operation_xyz
'x,y,z'
'-x,-y,-z'
'-x,y+1/2,-z+1/2'
'x,-y+1/2,z+1/2'
loop_
_atom_site_label
_atom_site_fract_x
_atom_site_fract_y
_atom_site_fract_z
_atom_site_occupancy
Ag1 0.000 0.000 0.000 1
Ag2 0.228 0.024 0.752 1
Se1 0.500 0.000 0.500 1
Br1 0.102 0.100 0.218 1
Br2 0.282 0.672 0.088 1
Br3 0.428 0.184 0.072 1
```

## Properties
**Total moment**: 0.00 μB/f.u.

one takes first place; second place is 0.7 kJ/mol of atoms up.

one:
Entry from the Alexandria database: a geometry-optimized AgSe4Br structure (GGA-PBE).

The structure in CIF format:
```
data_AgSe4Br
_chemical_formula_sum 'Ag1 Se4 Br1'
_space_group_name_H-M_alt 'P -1'
_space_group_IT_number 2
_cell_length_a 4.084
_cell_length_b 5.869
_cell_length_c 8.139
_cell_angle_alpha 69.73
_cell_angle_beta 86.13
_cell_angle_gamma 78.15
loop_
_space_group_symop_operation_xyz
'x,y,z'
'-x,-y,-z'
loop_
_atom_site_label
_atom_site_fract_x
_atom_site_fract_y
_atom_site_fract_z
_atom_site_occupancy
Ag1 0.000 0.000 0.000 1
Se1 0.330 0.470 0.632 1
Se2 0.473 0.951 0.229 1
Br1 0.000 0.500 0.000 1
```

## Properties
**Total moment**: 0.00 μB/f.u.

two:
Entry from the Alexandria database: a geometry-optimized AgSe4Br structure (GGA-PBE).

The structure in CIF format:
```
data_AgSe4Br
_chemical_formula_sum 'Ag4 Se16 Br4'
_space_group_name_H-M_alt 'F -4 3 m'
_space_group_IT_number 216
_space_group_name_Hall 'F -4 2 3'
_cell_length_a 8.181
_cell_length_b 8.181
_cell_length_c 8.181
_cell_angle_alpha 90.00
_cell_angle_beta 90.00
_cell_angle_gamma 90.00
loop_
_atom_site_label
_atom_site_fract_x
_atom_site_fract_y
_atom_site_fract_z
_atom_site_occupancy
Ag1 0.000 0.000 0.000 1
Se1 0.123 0.123 0.377 1
Br1 0.250 0.250 0.750 1
```

## Properties
**Total moment**: 0.00 μB/f.u.

one takes first place; second place is 49.0 kJ/mol of atoms up.

one:
Entry from the Alexandria database: a geometry-optimized SiAgSe2Br structure (GGA-PBE).

The structure in CIF format:
```
data_SiAgSe2Br
_chemical_formula_sum 'Si1 Ag1 Se2 Br1'
_space_group_name_H-M_alt 'P 4/m m m'
_space_group_IT_number 123
_space_group_name_Hall '-P 4 2'
_cell_length_a 4.804
_cell_length_b 4.804
_cell_length_c 5.367
_cell_angle_alpha 90.00
_cell_angle_beta 90.00
_cell_angle_gamma 90.00
loop_
_atom_site_label
_atom_site_fract_x
_atom_site_fract_y
_atom_site_fract_z
_atom_site_occupancy
Si1 0.000 0.000 0.000 1
Ag1 0.500 0.500 0.500 1
Se1 0.000 0.500 0.000 1
Br1 0.000 0.000 0.500 1
```

## Properties
**Total moment**: 0.00 μB/f.u.

two:
Entry from the Alexandria database: a geometry-optimized SiAgSe2Br structure (GGA-PBE).

The structure in CIF format:
```
data_SiAgSe2Br
_chemical_formula_sum 'Si1 Ag1 Se2 Br1'
_space_group_name_H-M_alt 'P 4/m m m'
_space_group_IT_number 123
_space_group_name_Hall '-P 4 2'
_cell_length_a 5.101
_cell_length_b 5.101
_cell_length_c 5.108
_cell_angle_alpha 90.00
_cell_angle_beta 90.00
_cell_angle_gamma 90.00
loop_
_atom_site_label
_atom_site_fract_x
_atom_site_fract_y
_atom_site_fract_z
_atom_site_occupancy
Si1 0.000 0.000 0.000 1
Ag1 0.500 0.500 0.500 1
Se1 0.000 0.500 0.500 1
Br1 0.500 0.500 0.000 1
```

## Properties
**Total moment**: 0.00 μB/f.u.

one takes first place; second place is 43.7 kJ/mol of atoms up.

one:
Entry from the Alexandria database: a geometry-optimized SiAgSeBr2 structure (GGA-PBE).

The structure in CIF format:
```
data_SiAgSeBr2
_chemical_formula_sum 'Si1 Ag1 Se1 Br2'
_space_group_name_H-M_alt 'P 4/m m m'
_space_group_IT_number 123
_space_group_name_Hall '-P 4 2'
_cell_length_a 5.122
_cell_length_b 5.122
_cell_length_c 4.945
_cell_angle_alpha 90.00
_cell_angle_beta 90.00
_cell_angle_gamma 90.00
loop_
_atom_site_label
_atom_site_fract_x
_atom_site_fract_y
_atom_site_fract_z
_atom_site_occupancy
Si1 0.000 0.000 0.000 1
Ag1 0.500 0.500 0.500 1
Se1 0.000 0.000 0.500 1
Br1 0.000 0.500 0.000 1
```

## Properties
**Total moment**: 0.00 μB/f.u.

two:
Entry from the Alexandria database: a geometry-optimized SiAgSeBr2 structure (GGA-PBE).

The structure in CIF format:
```
data_SiAgSeBr2
_chemical_formula_sum 'Si1 Ag1 Se1 Br2'
_space_group_name_H-M_alt 'P 4/m m m'
_space_group_IT_number 123
_space_group_name_Hall '-P 4 2'
_cell_length_a 5.139
_cell_length_b 5.139
_cell_length_c 5.287
_cell_angle_alpha 90.00
_cell_angle_beta 90.00
_cell_angle_gamma 90.00
loop_
_atom_site_label
_atom_site_fract_x
_atom_site_fract_y
_atom_site_fract_z
_atom_site_occupancy
Si1 0.000 0.000 0.000 1
Ag1 0.500 0.500 0.500 1
Se1 0.500 0.500 0.000 1
Br1 0.000 0.500 0.500 1
```

## Properties
**Total moment**: 0.00 μB/f.u.

one takes first place; second place is 40.2 kJ/mol of atoms up.

one:
Entry from the Alexandria database: a geometry-optimized SrAgSeBr2 structure (GGA-PBE).

The structure in CIF format:
```
data_SrAgSeBr2
_chemical_formula_sum 'Sr1 Ag1 Se1 Br2'
_space_group_name_H-M_alt 'P 4/m m m'
_space_group_IT_number 123
_space_group_name_Hall '-P 4 2'
_cell_length_a 5.266
_cell_length_b 5.266
_cell_length_c 5.333
_cell_angle_alpha 90.00
_cell_angle_beta 90.00
_cell_angle_gamma 90.00
loop_
_atom_site_label
_atom_site_fract_x
_atom_site_fract_y
_atom_site_fract_z
_atom_site_occupancy
Sr1 0.000 0.000 0.000 1
Ag1 0.500 0.500 0.500 1
Se1 0.500 0.500 0.000 1
Br1 0.000 0.500 0.500 1
```

## Properties
**Total moment**: 0.00 μB/f.u.

two:
Entry from the Alexandria database: a geometry-optimized SrAgSeBr2 structure (GGA-PBE).

The structure in CIF format:
```
data_SrAgSeBr2
_chemical_formula_sum 'Sr1 Ag1 Se1 Br2'
_space_group_name_H-M_alt 'P 4/m m m'
_space_group_IT_number 123
_space_group_name_Hall '-P 4 2'
_cell_length_a 5.863
_cell_length_b 5.863
_cell_length_c 6.071
_cell_angle_alpha 90.00
_cell_angle_beta 90.00
_cell_angle_gamma 90.00
loop_
_atom_site_label
_atom_site_fract_x
_atom_site_fract_y
_atom_site_fract_z
_atom_site_occupancy
Sr1 0.000 0.000 0.000 1
Ag1 0.500 0.500 0.500 1
Se1 0.000 0.000 0.500 1
Br1 0.000 0.500 0.000 1
```

## Properties
**Total moment**: 1.01 μB/f.u.

one takes first place; second place is 33.4 kJ/mol of atoms up.